This record from Alexandria via LeMat-Bulk describes a geometry-optimized Li6CrF8 structure. The functional is PBE with a Hubbard U.

Cell: 5.8934 5.8934 5.8934 Å, 60.00 60.00 60.00°
Last column: nearest neighbours and their distance in Å.
Element x y z (fractional)
Li1 0.0000 0.0000 0.5000  6 F 2.08
Li2 0.5000 0.0000 0.0000  6 F 2.08
Li3 0.5000 0.0000 0.5000  6 F 2.08
Li4 0.0000 0.5000 0.5000  6 F 2.08
Li5 0.5000 0.5000 0.0000  6 F 2.08
Li6 0.0000 0.5000 0.0000  6 F 2.08
F1 0.7500 0.7500 0.7500  6 Li 2.08
F2 0.2436 0.2436 0.7564  1 Cr 2.03, 4 Li 2.08
F3 0.2500 0.2500 0.2500  6 Li 2.08
F4 0.7564 0.7564 0.2436  1 Cr 2.03, 4 Li 2.08
F5 0.7564 0.2436 0.7564  1 Cr 2.03, 4 Li 2.08
F6 0.2436 0.7564 0.2436  1 Cr 2.03, 4 Li 2.08
F7 0.7564 0.2436 0.2436  1 Cr 2.03, 4 Li 2.08
F8 0.2436 0.7564 0.7564  1 Cr 2.03, 4 Li 2.08
Cr1 0.0000 0.0000 0.0000  6 F 2.03

## Properties
Total DFT energy (no corrections) in eV for the cell shown: -73.9
Theoretical density in g/cm3: 2.82